[1]
# Zn2CdIr

Crystalline Zn2CdIr at its relaxed geometry (PBE-GGA, Alexandria).

CIF file:
```
data_Zn2CdIr
_cell_length_a 2.8701
_cell_length_b 2.8701
_cell_length_c 28.0410
_cell_angle_alpha 90.00
_cell_angle_beta 90.00
_cell_angle_gamma 120.00
_space_group_name_H-M_alt 'R -3 m'
_space_group_IT_number 166
_space_group_name_Hall '-R 3 2"'
loop_
_atom_site_label
_atom_site_fract_x
_atom_site_fract_y
_atom_site_fract_z
_atom_site_occupancy
Zn1 0.0000 0.0000 0.2395 1
Cd1 0.0000 0.0000 0.0000 1
Ir1 0.0000 0.0000 0.5000 1
```

***

[2]
# RbSr2GaMo

Crystalline RbSr2GaMo at its relaxed geometry (PBE-GGA, Alexandria).

CIF file:
```
data_RbSr2GaMo
_cell_length_a 6.071
_cell_length_b 6.071
_cell_length_c 6.505
_cell_angle_alpha 90.00
_cell_angle_beta 90.00
_cell_angle_gamma 90.00
_space_group_name_H-M_alt 'P 4/m m m'
_space_group_IT_number 123
_space_group_name_Hall '-P 4 2'
loop_
_atom_site_label
_atom_site_fract_x
_atom_site_fract_y
_atom_site_fract_z
_atom_site_occupancy
Rb1 0.000 0.000 0.000 1
Sr1 0.000 0.500 0.500 1
Ga1 0.500 0.500 0.000 1
Mo1 0.000 0.000 0.500 1
```

***

In μB per cell, the magnetization values for the records above are, in order, 0.03, 2.93.
In eV per atom, the E values for the records above are, in order, -3.05, -2.53.
In meV per atom, the DFT formation energy values for the records above are, in order, 33, 1112.